Entry 1:
# PBE AcTb7Pm4, optimized geometry
data_AcTb7Pm4
_chemical_formula_sum 'Ac2 Tb14 Pm8'
_cell_length_a 12.347
_cell_length_b 6.113
_cell_length_c 12.761
_cell_angle_alpha 90.00
_cell_angle_beta 118.83
_cell_angle_gamma 90.00
_symmetry_space_group_name_H-M 'C 1 2/m 1'
_symmetry_Int_Tables_number 12
_symmetry_space_group_name_Hall '-C 2y'
loop_
_atom_site_label
_atom_site_type_symbol
_atom_site_fract_x
_atom_site_fract_y
_atom_site_fract_z
Ac1 Ac 0.000 0.000 0.000
Tb1 Tb 0.000 0.500 0.000
Tb2 Tb 0.056 0.000 0.338
Tb3 Tb 0.133 0.500 0.504
Tb4 Tb 0.216 0.000 0.921
Pm1 Pm 0.130 0.500 0.776
Pm2 Pm 0.250 0.000 0.680
# ΔE_f in eV per atom: 0.29
# Raw total energy in eV for the cell shown: -104.2
# DOS(E_F) in states/eV/cell: 39.4
# Total moment in μB per formula unit: 0.00

---

Entry 2:
# PBE LaAgSeBr2, optimized geometry
data_LaAgSeBr2
_chemical_formula_sum 'La1 Ag1 Se1 Br2'
_cell_length_a 5.812
_cell_length_b 5.812
_cell_length_c 5.816
_cell_angle_alpha 90.00
_cell_angle_beta 90.00
_cell_angle_gamma 90.00
_symmetry_space_group_name_H-M 'P 4/m m m'
_symmetry_Int_Tables_number 123
_symmetry_space_group_name_Hall '-P 4 2'
loop_
_atom_site_label
_atom_site_type_symbol
_atom_site_fract_x
_atom_site_fract_y
_atom_site_fract_z
La1 La 0.000 0.000 0.000
Ag1 Ag 0.500 0.500 0.500
Se1 Se 0.000 0.000 0.500
Br1 Br 0.000 0.500 0.000
# Raw total energy in eV for the cell shown: -19.1
# DOS(E_F) in states/eV/cell: 1.7
# Total moment in μB per formula unit: 0.00
# ΔE_f (raw) in eV per atom: -0.889

---

Entry 3:
# PBE LiNd2SnPd6, optimized geometry
data_LiNd2SnPd6
_chemical_formula_sum 'Li1 Nd2 Sn1 Pd6'
_cell_length_a 5.589
_cell_length_b 6.495
_cell_length_c 6.676
_cell_angle_alpha 72.03
_cell_angle_beta 65.29
_cell_angle_gamma 64.61
_symmetry_space_group_name_H-M 'P -1'
_symmetry_Int_Tables_number 2
_symmetry_space_group_name_Hall '-P 1'
loop_
_atom_site_label
_atom_site_type_symbol
_atom_site_fract_x
_atom_site_fract_y
_atom_site_fract_z
Li1 Li 0.000 0.000 0.000
Nd1 Nd 0.499 0.247 0.756
Sn1 Sn 0.000 0.500 0.500
Pd1 Pd 0.002 0.811 0.694
Pd2 Pd 0.183 0.576 0.058
Pd3 Pd 0.493 0.810 0.694
# ΔE_f in eV per atom: -0.58
# Raw total energy in eV for the cell shown: -52.4
# DOS(E_F) in states/eV/cell: 5.4
# Total moment in μB per formula unit: 0.00

---

Entry 4:
# PBE CsKRhAu2, optimized geometry
data_CsKRhAu2
_chemical_formula_sum 'Cs1 K1 Rh1 Au2'
_cell_length_a 5.391
_cell_length_b 5.391
_cell_length_c 5.395
_cell_angle_alpha 90.00
_cell_angle_beta 90.00
_cell_angle_gamma 90.00
_symmetry_space_group_name_H-M 'P 4/m m m'
_symmetry_Int_Tables_number 123
_symmetry_space_group_name_Hall '-P 4 2'
loop_
_atom_site_label
_atom_site_type_symbol
_atom_site_fract_x
_atom_site_fract_y
_atom_site_fract_z
Cs1 Cs 0.000 0.000 0.000
K1 K 0.500 0.500 0.000
Rh1 Rh 0.000 0.000 0.500
Au1 Au 0.000 0.500 0.500
# ΔE_f in eV per atom: 0.17
# Raw total energy in eV for the cell shown: -15.0
# DOS(E_F) in states/eV/cell: 1.8
# Total moment in μB per formula unit: 0.00

---

Entry 5:
# PBE TcSb2Pt, optimized geometry
data_TcSb2Pt
_chemical_formula_sum 'Tc1 Sb2 Pt1'
_cell_length_a 4.699
_cell_length_b 4.699
_cell_length_c 3.395
_cell_angle_alpha 90.00
_cell_angle_beta 90.00
_cell_angle_gamma 90.00
_symmetry_space_group_name_H-M 'P 4/m m m'
_symmetry_Int_Tables_number 123
_symmetry_space_group_name_Hall '-P 4 2'
loop_
_atom_site_label
_atom_site_type_symbol
_atom_site_fract_x
_atom_site_fract_y
_atom_site_fract_z
Tc1 Tc 0.000 0.000 0.000
Sb1 Sb 0.000 0.500 0.500
Pt1 Pt 0.500 0.500 0.000
# Raw total energy in eV for the cell shown: -24.1
# DOS(E_F) in states/eV/cell: 3.4
# Total moment in μB per formula unit: 0.62
# ΔE_f (raw) in eV per atom: 0.134

---

Entry 6:
# PBE Tm3P2Se, optimized geometry
data_Tm3P2Se
_chemical_formula_sum 'Tm6 P4 Se2'
_cell_length_a 3.969
_cell_length_b 3.969
_cell_length_c 16.847
_cell_angle_alpha 90.00
_cell_angle_beta 90.00
_cell_angle_gamma 90.00
_symmetry_space_group_name_H-M 'I 4/m m m'
_symmetry_Int_Tables_number 139
_symmetry_space_group_name_Hall '-I 4 2'
loop_
_atom_site_label
_atom_site_type_symbol
_atom_site_fract_x
_atom_site_fract_y
_atom_site_fract_z
Tm1 Tm 0.000 0.000 0.000
Tm2 Tm 0.000 0.000 0.328
P1 P 0.000 0.000 0.164
Se1 Se 0.000 0.000 0.500
# Raw total energy in eV for the cell shown: -75.7
# DOS(E_F) in states/eV/cell: 3.9
# Total moment in μB per formula unit: 0.00
# ΔE_f (raw) in eV per atom: -1.691

---

Entry 7:
# PBE Lu2CoTe, optimized geometry
data_Lu2CoTe
_chemical_formula_sum 'Lu6 Co3 Te3'
_cell_length_a 3.9489
_cell_length_b 3.9489
_cell_length_c 21.1893
_cell_angle_alpha 90.00
_cell_angle_beta 90.00
_cell_angle_gamma 120.00
_symmetry_space_group_name_H-M 'R -3 m'
_symmetry_Int_Tables_number 166
_symmetry_space_group_name_Hall '-R 3 2"'
loop_
_atom_site_label
_atom_site_type_symbol
_atom_site_fract_x
_atom_site_fract_y
_atom_site_fract_z
Lu1 Lu 0.0000 0.0000 0.2342
Co1 Co 0.0000 0.0000 0.5000
Te1 Te 0.0000 0.0000 0.0000
# Raw total energy in eV for the cell shown: -64.7
# DOS(E_F) in states/eV/cell: 8.7
# Total moment in μB per formula unit: 0.00
# ΔE_f (raw) in eV per atom: -0.573

---

Entry 8:
# PBE AcIn2CuPt4, optimized geometry
data_AcIn2CuPt4
_chemical_formula_sum 'Ac3 In6 Cu3 Pt12'
_cell_length_a 4.5263
_cell_length_b 4.5263
_cell_length_c 27.2422
_cell_angle_alpha 90.00
_cell_angle_beta 90.00
_cell_angle_gamma 120.00
_symmetry_space_group_name_H-M 'R -3 m'
_symmetry_Int_Tables_number 166
_symmetry_space_group_name_Hall '-R 3 2"'
loop_
_atom_site_label
_atom_site_type_symbol
_atom_site_fract_x
_atom_site_fract_y
_atom_site_fract_z
Ac1 Ac 0.0000 0.0000 0.0000
In1 In 0.0000 0.0000 0.2358
Cu1 Cu 0.0000 0.0000 0.5000
Pt1 Pt 0.0000 0.0000 0.1335
Pt2 Pt 0.0000 0.0000 0.4042
# ΔE_f in eV per atom: -0.59
# Raw total energy in eV for the cell shown: -127.7
# DOS(E_F) in states/eV/cell: 13.4
# Total moment in μB per formula unit: 0.00

---

Entry 9:
# PBE Y4Ho5Th, optimized geometry
data_Y4Ho5Th
_chemical_formula_sum 'Y8 Ho10 Th2'
_cell_length_a 10.148
_cell_length_b 10.148
_cell_length_c 6.373
_cell_angle_alpha 90.00
_cell_angle_beta 90.00
_cell_angle_gamma 90.00
_symmetry_space_group_name_H-M 'I 4'
_symmetry_Int_Tables_number 79
_symmetry_space_group_name_Hall 'I 4'
loop_
_atom_site_label
_atom_site_type_symbol
_atom_site_fract_x
_atom_site_fract_y
_atom_site_fract_z
Y1 Y 0.045 0.660 0.000
Ho1 Ho 0.000 0.000 0.239
Ho2 Ho 0.145 0.772 0.502
Th1 Th 0.000 0.000 0.776
# ΔE_f in eV per atom: 0.32
# Raw total energy in eV for the cell shown: -105.9
# DOS(E_F) in states/eV/cell: 30.6
# Total moment in μB per formula unit: 0.00

---

Entry 10:
# PBE BaLa2Ru, optimized geometry
data_BaLa2Ru
_chemical_formula_sum 'Ba1 La2 Ru1'
_cell_length_a 3.738
_cell_length_b 3.738
_cell_length_c 9.349
_cell_angle_alpha 90.00
_cell_angle_beta 90.00
_cell_angle_gamma 90.00
_symmetry_space_group_name_H-M 'P 4 m m'
_symmetry_Int_Tables_number 99
_symmetry_space_group_name_Hall 'P 4 -2'
loop_
_atom_site_label
_atom_site_type_symbol
_atom_site_fract_x
_atom_site_fract_y
_atom_site_fract_z
Ba1 Ba 0.000 0.000 0.000
La1 La 0.000 0.000 0.622
La2 La 0.500 0.500 0.378
Ru1 Ru 0.500 0.500 0.758
# ΔE_f in eV per atom: 0.14
# Raw total energy in eV for the cell shown: -20.5
# DOS(E_F) in states/eV/cell: 6.4
# Total moment in μB per formula unit: 0.44

---

Entry 11:
# PBE MgFeAu3, optimized geometry
data_MgFeAu3
_chemical_formula_sum 'Mg1 Fe1 Au3'
_cell_length_a 4.839
_cell_length_b 4.839
_cell_length_c 4.839
_cell_angle_alpha 90.00
_cell_angle_beta 90.00
_cell_angle_gamma 90.00
_symmetry_space_group_name_H-M 'P m -3 m'
_symmetry_Int_Tables_number 221
_symmetry_space_group_name_Hall '-P 4 2 3'
loop_
_atom_site_label
_atom_site_type_symbol
_atom_site_fract_x
_atom_site_fract_y
_atom_site_fract_z
Mg1 Mg 0.000 0.000 0.000
Fe1 Fe 0.500 0.500 0.500
Au1 Au 0.000 0.000 0.500
# ΔE_f in eV per atom: 0.85
# Raw total energy in eV for the cell shown: -15.6
# DOS(E_F) in states/eV/cell: 6.8
# Total moment in μB per formula unit: 3.50

---

Entry 12:
# PBE Sr2NiH, optimized geometry
data_Sr2NiH
_chemical_formula_sum 'Sr8 Ni4 H4'
_cell_length_a 7.077
_cell_length_b 7.077
_cell_length_c 8.087
_cell_angle_alpha 90.00
_cell_angle_beta 90.00
_cell_angle_gamma 90.00
_symmetry_space_group_name_H-M 'I -4 2 d'
_symmetry_Int_Tables_number 122
_symmetry_space_group_name_Hall 'I -4 2bw'
loop_
_atom_site_label
_atom_site_type_symbol
_atom_site_fract_x
_atom_site_fract_y
_atom_site_fract_z
Sr1 Sr 0.195 0.250 0.125
Ni1 Ni 0.000 0.000 0.500
H1 H 0.000 0.000 0.000
# Raw total energy in eV for the cell shown: -49.2
# DOS(E_F) in states/eV/cell: 11.7
# Total moment in μB per formula unit: 0.00

---

Look up the total moment of the sixth one.
0.00 μB per formula unit

---

What is the raw total energy in the first record?
-104.2 eV for the cell shown